# 1
4
Lattice="-1.511 2.250 4.390 1.511 -2.250 4.390 1.511 2.250 -4.390" Properties=species:S:1:pos:R:3 comment="CoSiAg2 PBE optimized geometry" n_ef_per_ev_cell=2.53 spacegroup="No. 44" formation_energy_uncorrected_ev_per_atom=0.205 energy_ev_per_cell=-17.4 vol_a3_per_atom=14.92 pbc="T T T"
Co 0.000 0.000 0.000
Si 1.511 0.000 1.625
Ag 0.000 0.000 3.830
Ag 0.000 2.250 1.962

# 2
14
Lattice="-4.589 4.589 4.578 4.589 -4.589 4.578 4.589 4.589 -4.578" Properties=species:S:1:pos:R:3 comment="Tm4SiTe2 PBE optimized geometry" n_ef_per_ev_cell=12.25 spacegroup="No. 141" formation_energy_uncorrected_ev_per_atom=-0.823 energy_ev_per_cell=-70.7 vol_a3_per_atom=27.55 pbc="T T T"
Tm 2.742 2.295 -0.688
Tm 6.437 2.295 -0.688
Tm 0.000 0.447 1.600
Tm 4.589 0.447 2.977
Tm 0.000 4.142 1.600
Tm 4.589 4.142 2.977
Tm -1.847 2.295 5.266
Tm 1.847 2.295 5.266
Si 4.589 -2.295 3.433
Si 0.000 6.884 1.144
Te 4.589 0.000 0.000
Te -2.295 2.295 2.289
Te 0.000 0.000 4.578
Te 2.295 2.295 2.289

# 3
24
Lattice="7.360 -11.002 0.000 7.360 11.002 0.000 0.000 0.000 3.722" Properties=species:S:1:pos:R:3 comment="Dy11Tl9Ir4 PBE optimized geometry" n_ef_per_ev_cell=12.58 spacegroup="No. 65" formation_enthalpy_0k_ev_per_fu=-12.9 energy_ev_per_cell=-120.3 vol_a3_per_atom=25.11 pbc="T T T"
Dy 0.000 0.000 0.000
Dy 3.695 3.673 0.000
Dy 7.360 7.412 0.000
Dy 4.592 0.000 0.000
Dy 7.360 2.769 0.000
Dy 3.695 -3.673 0.000
Dy 11.026 3.673 0.000
Dy 7.360 -2.769 0.000
Dy 10.128 0.000 0.000
Dy 7.360 -7.412 0.000
Dy 11.026 -3.673 0.000
Tl 2.088 1.613 1.861
Tl 5.762 5.288 1.861
Tl 2.088 -1.613 1.861
Tl 8.959 5.288 1.861
Tl 7.360 0.000 1.861
Tl 5.762 -5.288 1.861
Tl 12.632 1.613 1.861
Tl 8.959 -5.288 1.861
Tl 12.632 -1.613 1.861
Ir 5.147 2.208 1.861
Ir 5.147 -2.208 1.861
Ir 9.573 2.208 1.861
Ir 9.573 -2.208 1.861

# 4
24
Lattice="0.000 6.850 6.850 6.850 0.000 6.850 6.850 6.850 0.000" Properties=species:S:1:pos:R:3 comment="Tm4CuBi PBE optimized geometry" n_ef_per_ev_cell=14.53 spacegroup="No. 216" formation_enthalpy_0k_ev_per_fu=-2.0 energy_ev_per_cell=-111.3 vol_a3_per_atom=26.78 pbc="T T T"
Tm 6.850 6.850 2.524
Tm 6.850 2.524 6.850
Tm 11.176 6.850 6.850
Tm 4.803 4.803 4.803
Tm 8.896 8.896 4.803
Tm 8.896 4.803 8.896
Tm 10.275 10.275 7.718
Tm 10.275 7.718 10.275
Tm 12.832 10.275 10.275
Tm 2.524 6.850 6.850
Tm 6.850 11.176 6.850
Tm 6.850 6.850 11.176
Tm 7.718 10.275 10.275
Tm 10.275 12.832 10.275
Tm 10.275 10.275 12.832
Tm 4.803 8.896 8.896
Cu 1.967 1.967 1.967
Cu 4.883 4.883 1.967
Cu 4.883 1.967 4.883
Cu 1.967 4.883 4.883
Bi 8.124 5.575 5.575
Bi 5.575 8.124 5.575
Bi 5.575 5.575 8.124
Bi 8.124 8.124 8.124

# 5
3
Lattice="3.485 0.000 0.000 0.000 3.485 0.000 0.000 0.000 3.476" Properties=species:S:1:pos:R:3 comment="Co2W PBE optimized geometry" n_ef_per_ev_cell=2.62 spacegroup="No. 123" formation_enthalpy_0k_ev_per_fu=2.0 energy_ev_per_cell=-25.1 vol_a3_per_atom=14.07 pbc="T T T"
Co 0.000 1.743 0.000
Co 1.743 0.000 0.000
W 0.000 0.000 1.738

# 6
5
Lattice="7.010 0.000 0.000 0.000 7.010 0.000 0.000 0.000 2.850" Properties=species:S:1:pos:R:3 comment="Rb2MgBN PBE optimized geometry" n_ef_per_ev_cell=3.23 spacegroup="No. 123" formation_energy_uncorrected_ev_per_atom=0.299 energy_ev_per_cell=-17.0 vol_a3_per_atom=28.01 pbc="T T T"
Rb 0.000 3.505 0.000
Rb 3.505 0.000 0.000
Mg 0.000 0.000 1.425
B 3.505 3.505 1.425
N 3.505 3.505 0.000

# 7
4
Lattice="3.421 0.000 0.000 0.000 3.421 0.000 0.000 0.000 8.284" Properties=species:S:1:pos:R:3 comment="Gd2TlFe PBE optimized geometry" n_ef_per_ev_cell=3.70 spacegroup="No. 123" formation_enthalpy_0k_ev_per_fu=-0.5 energy_ev_per_cell=-39.5 vol_a3_per_atom=24.24 pbc="T T T"
Gd 0.000 0.000 1.676
Gd 0.000 0.000 6.609
Tl 1.711 1.711 4.142
Fe 1.711 1.711 0.000

# 8
6
Lattice="4.976 0.000 0.000 -2.488 4.309 0.000 0.000 0.000 6.893" Properties=species:S:1:pos:R:3 comment="PmInAg PBE optimized geometry" n_ef_per_ev_cell=4.74 spacegroup="No. 194" formation_enthalpy_0k_ev_per_fu=-1.2 energy_ev_per_cell=-23.1 vol_a3_per_atom=24.63 pbc="T T T"
Pm 0.000 0.000 0.000
Pm 0.000 0.000 3.447
In 0.000 2.873 1.723
In 2.488 1.436 5.170
Ag 0.000 2.873 5.170
Ag 2.488 1.436 1.723

# 9
20
Lattice="8.964 0.000 0.000 0.000 11.699 0.000 0.000 0.000 5.135" Properties=species:S:1:pos:R:3 comment="Er6Tl3Os PBE optimized geometry" n_ef_per_ev_cell=12.81 spacegroup="No. 58" formation_enthalpy_0k_ev_per_fu=-2.7 energy_ev_per_cell=-96.7 vol_a3_per_atom=26.92 pbc="T T T"
Er 0.124 2.763 0.000
Er 1.353 0.947 2.567
Er 1.756 4.876 2.567
Er 2.726 10.725 0.000
Er 3.129 6.797 0.000
Er 4.358 8.612 2.567
Er 4.606 3.087 2.567
Er 5.835 4.902 0.000
Er 6.238 0.974 0.000
Er 7.207 6.823 2.567
Er 7.611 10.752 2.567
Er 8.839 8.936 0.000
Tl 0.000 5.849 0.000
Tl 1.371 8.531 2.567
Tl 3.111 2.682 0.000
Tl 4.482 0.000 2.567
Tl 5.853 9.017 0.000
Tl 7.593 3.168 2.567
Os 0.000 0.000 0.000
Os 4.482 5.849 2.567

# 10
5
Lattice="4.894 0.000 0.000 0.000 4.894 0.000 0.000 0.000 4.894" Properties=species:S:1:pos:R:3 comment="TlOsPt3 PBE optimized geometry" n_ef_per_ev_cell=4.60 spacegroup="No. 221" formation_enthalpy_0k_ev_per_fu=5.1 energy_ev_per_cell=-26.6 vol_a3_per_atom=23.44 pbc="T T T"
Tl 0.000 0.000 0.000
Os 2.447 2.447 2.447
Pt 0.000 2.447 2.447
Pt 2.447 0.000 2.447
Pt 2.447 2.447 0.000

no.,magnetic moment (μB/atom)
1,0.14
2,0.00
3,0.00
4,0.00
5,0.00
6,0.00
7,3.29
8,0.00
9,0.00
10,0.00